Below is a relaxed Sm2Dy5Sc2 crystal, with properties calculated at the PBE level.

formation enthalpy at 0 K: 0.04 eV/atom
crystal system: triclinic
polymorph energy (0 for the lowest one): 0.0 kJ per mole of atoms
D(E_F): 12.848 states/eV/cell

a b c (Å): 6.0609 10.5115 7.8226
angles (deg): 132.21 82.42 125.41
Sites, in units of the cell vectors:
Sm 0.3345 0.7783 0.6667
Sm 0.6655 0.2217 0.3333
Dy 0.6629 0.8848 0.3312
Dy 0.3339 0.4476 0.6765
Dy 0.6661 0.5524 0.3235
Dy 0.0000 0.0000 0.0000
Dy 0.3371 0.1152 0.6688
Sc 0.0023 0.6659 0.0022
Sc 0.9977 0.3341 0.9978